No. 1
A geometry-optimized AlGeRu2Br structure, computed with PBE-GGA. Values from VASP.

Cell and atoms, written as Quantum ESPRESSO input:
```
&SYSTEM
  ibrav = 0, nat = 5, ntyp = 4
/
ATOMIC_SPECIES
Br 79.90 Br.upf
Ru 101.07 Ru.upf
Al 26.98 Al.upf
Ge 72.64 Ge.upf
ATOMIC_POSITIONS crystal
Br 0.5000 0.5000 0.5000
Ru 0.0000 0.0000 0.5000
Ru 0.5000 0.0000 0.0000
Al 0.0000 0.0000 0.0000
Ge 0.0000 0.5000 0.0000
CELL_PARAMETERS angstrom
4.6694 0.0000 0.0000
0.0000 4.7600 0.0000
0.0000 0.0000 4.6694
```

Properties
Fermi-level density of states, states/eV per cell: 4.98
Uncorrected energy, eV for the cell shown: -22.92
Formation energy from raw total energies, eV per atom: 1.132



No. 2
A geometry-optimized Sb2MoCl structure, computed with PBE-GGA. Values from VASP.

Cell and atoms, written as Quantum ESPRESSO input:
```
&SYSTEM
  ibrav = 0, nat = 4, ntyp = 3
/
ATOMIC_SPECIES
Mo 95.94 Mo.upf
Sb 121.76 Sb.upf
Cl 35.45 Cl.upf
ATOMIC_POSITIONS crystal
Mo 0.5000 0.5000 0.0000
Sb 0.0000 0.0000 0.0000
Sb 0.5000 0.0000 0.5000
Cl 0.0000 0.5000 0.5000
CELL_PARAMETERS angstrom
-2.6280 0.3313 6.9752
4.8361 -1.8188 -2.0770
2.0894 2.1629 0.6946
```

Properties
Fermi-level density of states, states/eV per cell: 1.67
Uncorrected energy, eV for the cell shown: -19.78
Polymorph energy (0 for the lowest one), meV/atom: 298
Formation energy from raw total energies, eV per atom: 0.286



No. 3
A geometry-optimized YZn2Os structure, computed with PBE-GGA. Values from VASP.

Cell and atoms, written as Quantum ESPRESSO input:
```
&SYSTEM
  ibrav = 0, nat = 4, ntyp = 3
/
ATOMIC_SPECIES
Zn 65.41 Zn.upf
Y 88.91 Y.upf
Os 190.23 Os.upf
ATOMIC_POSITIONS crystal
Zn 0.7500 0.7500 0.7500
Zn 0.0000 0.0000 0.0000
Y 0.2500 0.2500 0.2500
Os 0.5000 0.5000 0.5000
CELL_PARAMETERS angstrom
4.6541 0.0000 0.0000
2.3270 4.0306 0.0000
2.3270 1.3435 3.8001
```

Properties
Fermi-level density of states, states/eV per cell: 3.80
Uncorrected energy, eV for the cell shown: -19.83
Energy relative to the elements, eV/atom: 0.104
Polymorph energy (0 for the lowest one), meV/atom: 228



No. 4
A geometry-optimized La4Pt5 structure, computed with PBE-GGA. Values from VASP.

Cell and atoms, written as Quantum ESPRESSO input:
```
&SYSTEM
  ibrav = 0, nat = 18, ntyp = 2
/
ATOMIC_SPECIES
Pt 195.08 Pt.upf
La 138.91 La.upf
ATOMIC_POSITIONS crystal
Pt 0.2833 0.7167 0.2500
Pt 0.3333 0.3333 0.5000
Pt 0.7167 0.2833 0.7500
Pt 0.0000 0.2833 0.2500
Pt 0.6667 0.6667 0.5000
Pt 0.6667 0.6667 0.0000
Pt 0.0000 0.7167 0.7500
Pt 0.3333 0.3333 0.0000
Pt 0.2833 0.0000 0.7500
Pt 0.7167 0.0000 0.2500
La 0.3830 0.6170 0.7500
La 0.0000 0.0000 0.5000
La 0.6170 0.0000 0.7500
La 0.0000 0.3830 0.7500
La 0.0000 0.0000 0.0000
La 0.0000 0.6170 0.2500
La 0.3830 0.0000 0.2500
La 0.6170 0.3830 0.2500
CELL_PARAMETERS angstrom
-4.5958 -5.1250 -5.6349
0.3087 -8.8563 0.7809
-4.9483 0.1697 3.8815
```

Properties
Fermi-level density of states, states/eV per cell: 8.71
Uncorrected energy, eV for the cell shown: -117.72
Energy relative to the elements, eV/atom: -0.994
Polymorph energy (0 for the lowest one), meV/atom: 0



No. 5
A geometry-optimized La2DyS4 structure, computed with PBE-GGA. Values from VASP.

Cell and atoms, written as Quantum ESPRESSO input:
```
&SYSTEM
  ibrav = 0, nat = 14, ntyp = 3
/
ATOMIC_SPECIES
S 32.06 S.upf
La 138.91 La.upf
Dy 162.50 Dy.upf
ATOMIC_POSITIONS crystal
S 0.0142 0.0285 0.2500
S 0.7809 0.5617 0.1267
S 0.2191 0.4383 0.6267
S 0.5000 0.0000 0.0000
S 0.2191 0.4383 0.8733
S 0.5000 0.0000 0.5000
S 0.9858 0.9715 0.7500
S 0.7809 0.5617 0.3733
La 0.8706 0.7412 0.9262
La 0.1294 0.2588 0.4262
La 0.1294 0.2588 0.0738
La 0.8706 0.7412 0.5738
Dy 0.3719 0.7438 0.2500
Dy 0.6281 0.2562 0.7500
CELL_PARAMETERS angstrom
-2.1435 2.3794 2.2282
-4.5855 -3.0679 -4.5507
-2.0138 -10.0757 8.8218
```

Properties
Fermi-level density of states, states/eV per cell: 3.94
Uncorrected energy, eV for the cell shown: -90.89
Formation energy from raw total energies, eV per atom: -2.068



No. 6
A geometry-optimized Li12Sb3F5 structure, computed with PBE-GGA. Values from VASP.

Cell and atoms, written as Quantum ESPRESSO input:
```
&SYSTEM
  ibrav = 0, nat = 80, ntyp = 3
/
ATOMIC_SPECIES
Li 6.94 Li.upf
F 19.00 F.upf
Sb 121.76 Sb.upf
ATOMIC_POSITIONS crystal
Li 0.4156 0.3041 0.3129
Li 0.1959 0.6871 0.0844
Li 0.8129 0.8973 0.0089
Li 0.8129 0.9156 0.3041
Li 0.6027 0.6116 0.4156
Li 0.9156 0.1027 0.6116
Li 0.4911 0.6871 0.1027
Li 0.8884 0.5844 0.8973
Li 0.5844 0.8884 0.3973
Li 0.1871 0.0844 0.6959
Li 0.1959 0.5089 0.6116
Li 0.6116 0.6027 0.9156
Li 0.3041 0.8884 0.9911
Li 0.9911 0.3884 0.3041
Li 0.3129 0.5089 0.3973
Li 0.1116 0.6959 0.5089
Li 0.4156 0.1116 0.6027
Li 0.3041 0.4156 0.8129
Li 0.3884 0.9911 0.8041
Li 0.3129 0.8041 0.4156
Li 0.8041 0.4911 0.3884
Li 0.6116 0.0089 0.1959
Li 0.6871 0.4911 0.6027
Li 0.1871 0.1027 0.9911
Li 0.8041 0.3129 0.9156
Li 0.0844 0.8973 0.3884
Li 0.6959 0.5844 0.1871
Li 0.9156 0.8129 0.8041
Li 0.1116 0.4156 0.1027
Li 0.6027 0.9911 0.6871
Li 0.6871 0.1959 0.5844
Li 0.3973 0.3884 0.5844
Li 0.5089 0.3129 0.8973
Li 0.0089 0.3973 0.8129
Li 0.5844 0.6959 0.6871
Li 0.5089 0.1959 0.1116
Li 0.1027 0.1871 0.4911
Li 0.3884 0.3973 0.0844
Li 0.9911 0.6027 0.1871
Li 0.3973 0.0089 0.3129
Li 0.4911 0.8041 0.8884
Li 0.6959 0.1116 0.0089
Li 0.0089 0.6116 0.6959
Li 0.8973 0.8129 0.5089
Li 0.0844 0.1871 0.1959
Li 0.8884 0.3041 0.4911
Li 0.8973 0.0844 0.8884
Li 0.1027 0.9156 0.1116
F 0.0000 0.0000 0.5000
F 0.5000 0.0000 0.5000
F 0.2500 0.8750 0.1250
F 0.0000 0.0000 0.0000
F 0.3750 0.1250 0.7500
F 0.0000 0.5000 0.5000
F 0.1250 0.3750 0.2500
F 0.5000 0.5000 0.5000
F 0.5000 0.5000 0.0000
F 0.8750 0.6250 0.7500
F 0.6250 0.7500 0.8750
F 0.3750 0.2500 0.1250
F 0.1250 0.7500 0.3750
F 0.2500 0.3750 0.6250
F 0.7500 0.1250 0.8750
F 0.6250 0.8750 0.2500
F 0.8750 0.2500 0.6250
F 0.7500 0.6250 0.3750
F 0.0000 0.5000 0.0000
F 0.5000 0.0000 0.0000
Sb 0.1250 0.8750 0.7500
Sb 0.7500 0.8750 0.6250
Sb 0.6250 0.2500 0.3750
Sb 0.8750 0.7500 0.1250
Sb 0.3750 0.6250 0.2500
Sb 0.2500 0.6250 0.8750
Sb 0.7500 0.3750 0.1250
Sb 0.8750 0.1250 0.2500
Sb 0.2500 0.1250 0.3750
Sb 0.3750 0.7500 0.6250
Sb 0.1250 0.2500 0.8750
Sb 0.6250 0.3750 0.7500
CELL_PARAMETERS angstrom
-4.1669 -1.5980 -11.0177
11.8848 0.0627 -0.2289
-3.7820 -8.8416 6.9878
```

Properties
Fermi-level density of states, states/eV per cell: 5.94
Uncorrected energy, eV for the cell shown: -304.61
Formation energy from raw total energies, eV per atom: -1.573



No. 7
A geometry-optimized MgSbPd14 structure, computed with PBE-GGA. Values from VASP.

Cell and atoms, written as Quantum ESPRESSO input:
```
&SYSTEM
  ibrav = 0, nat = 16, ntyp = 3
/
ATOMIC_SPECIES
Pd 106.42 Pd.upf
Mg 24.30 Mg.upf
Sb 121.76 Sb.upf
ATOMIC_POSITIONS crystal
Pd 0.1253 0.1253 0.7493
Pd 0.3750 0.3750 0.0000
Pd 0.6247 0.1253 0.7493
Pd 0.6247 0.6247 0.2507
Pd 0.8750 0.3750 0.5000
Pd 0.6247 0.1253 0.2507
Pd 0.3750 0.8750 0.0000
Pd 0.1253 0.6247 0.2507
Pd 0.1253 0.6247 0.7493
Pd 0.3750 0.8750 0.5000
Pd 0.6247 0.6247 0.7493
Pd 0.8750 0.3750 0.0000
Pd 0.1253 0.1253 0.2507
Pd 0.8750 0.8750 0.0000
Mg 0.3750 0.3750 0.5000
Sb 0.8750 0.8750 0.5000
CELL_PARAMETERS angstrom
5.6800 -0.0113 0.0000
0.0128 5.6800 0.0000
0.0000 0.0000 7.7845
```

Properties
Fermi-level density of states, states/eV per cell: 26.83
Uncorrected energy, eV for the cell shown: -82.12
Formation energy from raw total energies, eV per atom: -0.231



No. 8
A geometry-optimized SrAl2Au4 structure, computed with PBE-GGA. Values from VASP.

Cell and atoms, written as Quantum ESPRESSO input:
```
&SYSTEM
  ibrav = 0, nat = 28, ntyp = 3
/
ATOMIC_SPECIES
Au 196.97 Au.upf
Al 26.98 Al.upf
Sr 87.62 Sr.upf
ATOMIC_POSITIONS crystal
Au 0.7500 0.9804 0.0712
Au 0.2500 0.2891 0.7164
Au 0.2500 0.4804 0.4288
Au 0.2500 0.3742 0.0172
Au 0.2500 0.6999 0.6786
Au 0.7500 0.3001 0.3214
Au 0.7500 0.5196 0.5712
Au 0.7500 0.7109 0.2836
Au 0.7500 0.8742 0.4828
Au 0.7500 0.1999 0.8214
Au 0.2500 0.1258 0.5172
Au 0.2500 0.2109 0.2164
Au 0.2500 0.8001 0.1786
Au 0.7500 0.7891 0.7836
Au 0.2500 0.0196 0.9288
Au 0.7500 0.6258 0.9828
Al 0.2500 0.5215 0.2902
Al 0.2500 0.7263 0.5375
Al 0.2500 0.9785 0.7902
Al 0.7500 0.0215 0.2098
Al 0.7500 0.2737 0.4625
Al 0.2500 0.7737 0.0375
Al 0.7500 0.4785 0.7098
Al 0.7500 0.2263 0.9625
Sr 0.2500 0.9700 0.3617
Sr 0.7500 0.4700 0.1383
Sr 0.2500 0.5300 0.8617
Sr 0.7500 0.0300 0.6383
CELL_PARAMETERS angstrom
4.5741 0.0000 0.0000
0.0000 6.9132 0.0000
0.0000 0.0000 18.5569
```

Properties
Fermi-level density of states, states/eV per cell: 10.60
Uncorrected energy, eV for the cell shown: -103.34
Energy relative to the elements, eV/atom: -0.508
Polymorph energy (0 for the lowest one), meV/atom: 5



No. 9
A geometry-optimized AcTmO3 structure, computed with PBE-GGA. Values from VASP.

Cell and atoms, written as Quantum ESPRESSO input:
```
&SYSTEM
  ibrav = 0, nat = 20, ntyp = 3
/
ATOMIC_SPECIES
O 16.00 O.upf
Tm 168.93 Tm.upf
Ac 227.00 Ac.upf
ATOMIC_POSITIONS crystal
O 0.8244 0.8696 0.8313
O 0.6889 0.6415 0.1477
O 0.8696 0.8244 0.3313
O 0.3444 0.7926 0.9313
O 0.1304 0.1756 0.6687
O 0.3111 0.3585 0.8523
O 0.3585 0.3111 0.3523
O 0.6556 0.2074 0.0687
O 0.6415 0.6889 0.6477
O 0.7926 0.3444 0.4313
O 0.1756 0.1304 0.1687
O 0.2074 0.6556 0.5687
Tm 0.5000 0.0000 0.0000
Tm 0.2348 0.7652 0.7500
Tm 0.0000 0.5000 0.5000
Tm 0.7652 0.2348 0.2500
Ac 0.5778 0.1492 0.6352
Ac 0.4222 0.8508 0.3648
Ac 0.1492 0.5778 0.1352
Ac 0.8508 0.4222 0.8648
CELL_PARAMETERS angstrom
-2.5758 4.5346 -3.1441
-5.3075 -0.8771 -2.8539
-7.5014 4.1120 6.0710
```

Properties
Fermi-level density of states, states/eV per cell: 0.00
Uncorrected energy, eV for the cell shown: -163.76
Formation energy from raw total energies, eV per atom: -3.497